*A*
# Nb2CoH2 GGA-PBE optimized geometry
data_Nb2CoH2
_chemical_formula_sum 'Nb4 Co2 H4'
_cell_length_a 2.922
_cell_length_b 2.922
_cell_length_c 12.256
_cell_angle_alpha 90.00
_cell_angle_beta 90.00
_cell_angle_gamma 90.00
_symmetry_space_group_name_H-M 'I 4/m m m'
_symmetry_Int_Tables_number 139
_symmetry_space_group_name_Hall '-I 4 2'
loop_
_atom_site_label
_atom_site_type_symbol
_atom_site_fract_x
_atom_site_fract_y
_atom_site_fract_z
_atom_site_occupancy
Nb1 Nb 0.000 0.000 0.140 1
Co1 Co 0.000 0.000 0.500 1
H1 H 0.000 0.500 0.250 1
# Calculated volume: 10.5 A^3/atom
# Spin magnetization: 1.070 μB per cell

***

*B*
# Nb2CoH2 GGA-PBE optimized geometry
data_Nb2CoH2
_chemical_formula_sum 'Nb8 Co4 H8'
_cell_length_a 2.724
_cell_length_b 9.578
_cell_length_c 7.871
_cell_angle_alpha 90.00
_cell_angle_beta 90.00
_cell_angle_gamma 90.00
_symmetry_space_group_name_H-M 'C m c 21'
_symmetry_Int_Tables_number 36
_symmetry_space_group_name_Hall 'C 2c -2'
loop_
_atom_site_label
_atom_site_type_symbol
_atom_site_fract_x
_atom_site_fract_y
_atom_site_fract_z
_atom_site_occupancy
Nb1 Nb 0.000 0.089 0.000 1
Nb2 Nb 0.000 0.352 0.177 1
Co1 Co 0.000 0.368 0.824 1
H1 H 0.000 0.006 0.258 1
H2 H 0.000 0.222 0.414 1
# Calculated volume: 10.3 A^3/atom
# Spin magnetization: 0.000 μB per cell

***

*A* (158 meV/atom below the next structure)

***

*A*
# NbCoH2 GGA-PBE optimized geometry
data_NbCoH2
_chemical_formula_sum 'Nb3 Co3 H6'
_cell_length_a 2.8309
_cell_length_b 2.8309
_cell_length_c 14.6068
_cell_angle_alpha 90.00
_cell_angle_beta 90.00
_cell_angle_gamma 120.00
_symmetry_space_group_name_H-M 'R 3 m'
_symmetry_Int_Tables_number 160
_symmetry_space_group_name_Hall 'R 3 -2"'
loop_
_atom_site_label
_atom_site_type_symbol
_atom_site_fract_x
_atom_site_fract_y
_atom_site_fract_z
_atom_site_occupancy
Nb1 Nb 0.0000 0.0000 0.0000 1
Co1 Co 0.0000 0.0000 0.8243 1
H1 H 0.0000 0.0000 0.2240 1
H2 H 0.0000 0.0000 0.4340 1
# Calculated volume: 8.4 A^3/atom
# Spin magnetization: 1.361 μB per cell

***

*B*
# NbCoH2 GGA-PBE optimized geometry
data_NbCoH2
_chemical_formula_sum 'Nb4 Co4 H8'
_cell_length_a 5.139
_cell_length_b 5.139
_cell_length_c 5.139
_cell_angle_alpha 90.00
_cell_angle_beta 90.00
_cell_angle_gamma 90.00
_symmetry_space_group_name_H-M 'F m -3 m'
_symmetry_Int_Tables_number 225
_symmetry_space_group_name_Hall '-F 4 2 3'
loop_
_atom_site_label
_atom_site_type_symbol
_atom_site_fract_x
_atom_site_fract_y
_atom_site_fract_z
_atom_site_occupancy
Nb1 Nb 0.000 0.000 0.000 1
Co1 Co 0.000 0.000 0.500 1
H1 H 0.250 0.250 0.250 1
# Calculated volume: 8.5 A^3/atom
# Spin magnetization: 4.179 μB per cell

***

*C*
# NbCoH2 GGA-PBE optimized geometry
data_NbCoH2
_chemical_formula_sum 'Nb3 Co3 H6'
_cell_length_a 2.8477
_cell_length_b 2.8477
_cell_length_c 14.6550
_cell_angle_alpha 90.00
_cell_angle_beta 90.00
_cell_angle_gamma 120.00
_symmetry_space_group_name_H-M 'R -3 m'
_symmetry_Int_Tables_number 166
_symmetry_space_group_name_Hall '-R 3 2"'
loop_
_atom_site_label
_atom_site_type_symbol
_atom_site_fract_x
_atom_site_fract_y
_atom_site_fract_z
_atom_site_occupancy
Nb1 Nb 0.0000 0.0000 0.0000 1
Co1 Co 0.0000 0.0000 0.5000 1
H1 H 0.0000 0.0000 0.1335 1
# Calculated volume: 8.6 A^3/atom
# Spin magnetization: 0.000 μB per cell

***

*C* (75 meV/atom below the next structure)

***

*A*
# Nb2CoH GGA-PBE optimized geometry
data_Nb2CoH
_chemical_formula_sum 'Nb8 Co4 H4'
_cell_length_a 5.931
_cell_length_b 5.931
_cell_length_c 5.931
_cell_angle_alpha 90.00
_cell_angle_beta 90.00
_cell_angle_gamma 90.00
_symmetry_space_group_name_H-M 'F m -3 m'
_symmetry_Int_Tables_number 225
_symmetry_space_group_name_Hall '-F 4 2 3'
loop_
_atom_site_label
_atom_site_type_symbol
_atom_site_fract_x
_atom_site_fract_y
_atom_site_fract_z
_atom_site_occupancy
Nb1 Nb 0.250 0.250 0.250 1
Co1 Co 0.000 0.000 0.000 1
H1 H 0.000 0.000 0.500 1
# Calculated volume: 13.0 A^3/atom
# Spin magnetization: 0.001 μB per cell

***

*B*
# Nb2CoH GGA-PBE optimized geometry
data_Nb2CoH
_chemical_formula_sum 'Nb6 Co3 H3'
_cell_length_a 3.7018
_cell_length_b 3.7018
_cell_length_c 17.7399
_cell_angle_alpha 90.00
_cell_angle_beta 90.00
_cell_angle_gamma 120.00
_symmetry_space_group_name_H-M 'R -3 m'
_symmetry_Int_Tables_number 166
_symmetry_space_group_name_Hall '-R 3 2"'
loop_
_atom_site_label
_atom_site_type_symbol
_atom_site_fract_x
_atom_site_fract_y
_atom_site_fract_z
_atom_site_occupancy
Nb1 Nb 0.0000 0.0000 0.1043 1
Co1 Co 0.0000 0.0000 0.5000 1
H1 H 0.0000 0.0000 0.0000 1
# Calculated volume: 17.5 A^3/atom
# Spin magnetization: 0.000 μB per cell

***

*A* (117 meV/atom below the next structure)

***

*A*
# Nb2CoH4 GGA-PBE optimized geometry
data_Nb2CoH4
_chemical_formula_sum 'Nb4 Co2 H8'
_cell_length_a 5.055
_cell_length_b 3.891
_cell_length_c 6.321
_cell_angle_alpha 90.00
_cell_angle_beta 108.56
_cell_angle_gamma 90.00
_symmetry_space_group_name_H-M 'P 1 21/m 1'
_symmetry_Int_Tables_number 11
_symmetry_space_group_name_Hall '-P 2yb'
loop_
_atom_site_label
_atom_site_type_symbol
_atom_site_fract_x
_atom_site_fract_y
_atom_site_fract_z
_atom_site_occupancy
Nb1 Nb 0.203 0.250 0.414 1
Nb2 Nb 0.229 0.250 0.930 1
Co1 Co 0.335 0.750 0.683 1
H1 H 0.042 0.750 0.902 1
H2 H 0.078 0.750 0.392 1
H3 H 0.428 0.526 0.218 1
# Calculated volume: 8.4 A^3/atom
# Spin magnetization: 0.000 μB per cell

***

*B*
# Nb2CoH4 GGA-PBE optimized geometry
data_Nb2CoH4
_chemical_formula_sum 'Nb4 Co2 H8'
_cell_length_a 3.083
_cell_length_b 3.083
_cell_length_c 11.762
_cell_angle_alpha 90.00
_cell_angle_beta 90.00
_cell_angle_gamma 90.00
_symmetry_space_group_name_H-M 'I 4/m m m'
_symmetry_Int_Tables_number 139
_symmetry_space_group_name_Hall '-I 4 2'
loop_
_atom_site_label
_atom_site_type_symbol
_atom_site_fract_x
_atom_site_fract_y
_atom_site_fract_z
_atom_site_occupancy
Nb1 Nb 0.000 0.000 0.153 1
Co1 Co 0.000 0.000 0.500 1
H1 H 0.000 0.000 0.335 1
H2 H 0.000 0.500 0.000 1
# Calculated volume: 8.0 A^3/atom
# Spin magnetization: 0.000 μB per cell

***

*B* (19 meV/atom below the next structure)